Record 1
CdAuC2: optimized geometry, GGA-PBE.

Calculated values
DFT total energy = -3.77 eV per atom

Unit cell a=5.047 b=5.047 c=10.088 alpha=90.00 beta=90.00 gamma=90.00
Fractional positions:
Cd (0.000, 0.000, 0.000)
Cd (0.000, 0.500, 0.250)
Cd (0.500, 0.000, 0.750)
Cd (0.500, 0.500, 0.500)
Au (0.000, 0.000, 0.500)
Au (0.000, 0.500, 0.750)
Au (0.500, 0.000, 0.250)
Au (0.500, 0.500, 0.000)
C (0.210, 0.250, 0.625)
C (0.250, 0.710, 0.875)
C (0.250, 0.790, 0.375)
C (0.290, 0.250, 0.125)
C (0.710, 0.750, 0.125)
C (0.750, 0.210, 0.375)
C (0.750, 0.290, 0.875)
C (0.790, 0.750, 0.625)

***

Record 2
GdHgBiPd: optimized geometry, GGA-PBE.

Calculated values
DFT total energy = -6.37 eV per atom

Unit cell a=7.254 b=7.254 c=7.254 alpha=90.00 beta=90.00 gamma=90.00
Fractional positions:
Gd (0.000, 0.000, 0.000)
Gd (0.000, 0.500, 0.500)
Gd (0.500, 0.000, 0.500)
Gd (0.500, 0.500, 0.000)
Hg (0.250, 0.250, 0.250)
Hg (0.250, 0.750, 0.750)
Hg (0.750, 0.250, 0.750)
Hg (0.750, 0.750, 0.250)
Bi (0.000, 0.000, 0.500)
Bi (0.000, 0.500, 0.000)
Bi (0.500, 0.000, 0.000)
Bi (0.500, 0.500, 0.500)
Pd (0.250, 0.250, 0.750)
Pd (0.250, 0.750, 0.250)
Pd (0.750, 0.250, 0.250)
Pd (0.750, 0.750, 0.750)

***

Record 3
RbNaH3: optimized geometry, GGA-PBE.

Calculated values
Distance to the lowest polymorph of the same formula = 0.388 eV/atom

Unit cell a=5.054 b=5.054 c=5.054 alpha=90.00 beta=90.00 gamma=90.00
Fractional positions:
Rb (0.000, 0.000, 0.000)
Na (0.500, 0.500, 0.500)
H (0.000, 0.000, 0.500)
H (0.000, 0.500, 0.000)
H (0.500, 0.000, 0.000)

***

Record 4
PaAgTe2: optimized geometry, GGA-PBE.

Calculated values
E_form (uncorrected) = -0.3751 eV per atom

Unit cell a=7.436 b=7.436 c=7.436 alpha=90.00 beta=90.00 gamma=90.00
Fractional positions:
Pa (0.000, 0.000, 0.000)
Pa (0.000, 0.500, 0.500)
Pa (0.500, 0.000, 0.500)
Pa (0.500, 0.500, 0.000)
Ag (0.000, 0.000, 0.500)
Ag (0.000, 0.500, 0.000)
Ag (0.500, 0.000, 0.000)
Ag (0.500, 0.500, 0.500)
Te (0.250, 0.250, 0.250)
Te (0.250, 0.250, 0.750)
Te (0.250, 0.750, 0.250)
Te (0.250, 0.750, 0.750)
Te (0.750, 0.250, 0.250)
Te (0.750, 0.250, 0.750)
Te (0.750, 0.750, 0.250)
Te (0.750, 0.750, 0.750)

***

Record 5
ScTcPb2: optimized geometry, GGA-PBE.

Calculated values
Distance to the lowest polymorph of the same formula = 0.162 eV/atom

Unit cell a=3.549 b=4.561 c=5.814 alpha=90.00 beta=105.97 gamma=90.00
Fractional positions:
Sc (0.000, 0.000, 0.000)
Tc (0.271, 0.500, 0.237)
Pb (0.440, 0.500, 0.787)
Pb (0.788, 0.000, 0.449)

***

Record 6
Co2Tc: optimized geometry, GGA-PBE.

Calculated values
Distance to the lowest polymorph of the same formula = 0.102 eV/atom

Unit cell a=4.631 b=4.631 c=4.631 alpha=60.00 beta=60.00 gamma=60.00
Fractional positions:
Co (0.000, 0.000, 0.000)
Co (0.000, 0.000, 0.500)
Co (0.000, 0.500, 0.000)
Co (0.500, 0.000, 0.000)
Tc (0.375, 0.375, 0.375)
Tc (0.625, 0.625, 0.625)

***

Record 7
Be2AlP: optimized geometry, GGA-PBE.

Calculated values
Distance to the lowest polymorph of the same formula = 0.156 eV/atom

Unit cell a=3.449 b=3.449 c=7.891 alpha=90.00 beta=90.00 gamma=90.00
Fractional positions:
Be (0.000, 0.000, 0.000)
Be (0.000, 0.500, 0.250)
Be (0.500, 0.000, 0.750)
Be (0.500, 0.500, 0.500)
Al (0.000, 0.000, 0.500)
Al (0.500, 0.500, 0.000)
P (0.000, 0.500, 0.750)
P (0.500, 0.000, 0.250)

***

Record 8
KMnTe2: optimized geometry, GGA-PBE.

Calculated values
E_form (uncorrected) = -0.4632 eV per atom

Unit cell a=4.342 b=4.342 c=14.290 alpha=90.00 beta=90.00 gamma=90.00
Fractional positions:
K (0.000, 0.000, 0.000)
K (0.500, 0.500, 0.500)
Mn (0.000, 0.500, 0.250)
Mn (0.500, 0.000, 0.750)
Te (0.000, 0.000, 0.355)
Te (0.000, 0.000, 0.645)
Te (0.500, 0.500, 0.145)
Te (0.500, 0.500, 0.855)

***

Record 9
ScTcPt2: optimized geometry, GGA-PBE.

Calculated values
Distance to the lowest polymorph of the same formula = 0.252 eV/atom

Unit cell a=6.460 b=6.460 c=6.460 alpha=90.00 beta=90.00 gamma=90.00
Fractional positions:
Sc (0.000, 0.000, 0.000)
Sc (0.000, 0.500, 0.500)
Sc (0.500, 0.000, 0.500)
Sc (0.500, 0.500, 0.000)
Tc (0.000, 0.000, 0.500)
Tc (0.000, 0.500, 0.000)
Tc (0.500, 0.000, 0.000)
Tc (0.500, 0.500, 0.500)
Pt (0.250, 0.250, 0.250)
Pt (0.250, 0.250, 0.750)
Pt (0.250, 0.750, 0.250)
Pt (0.250, 0.750, 0.750)
Pt (0.750, 0.250, 0.250)
Pt (0.750, 0.250, 0.750)
Pt (0.750, 0.750, 0.250)
Pt (0.750, 0.750, 0.750)

***

Record 10
CaSc3Si: optimized geometry, GGA-PBE.

Calculated values
Distance to the lowest polymorph of the same formula = 0.000 eV/atom
E_form (uncorrected) = -0.0550 eV per atom

Unit cell a=5.194 b=5.194 c=5.194 alpha=90.00 beta=90.00 gamma=90.00
Fractional positions:
Ca (0.000, 0.000, 0.000)
Sc (0.000, 0.500, 0.500)
Sc (0.500, 0.000, 0.500)
Sc (0.500, 0.500, 0.000)
Si (0.500, 0.500, 0.500)

***

Record 11
CaMgPb: optimized geometry, GGA-PBE.

Calculated values
DFT total energy = -2.64 eV per atom

Unit cell a=7.134 b=7.134 c=7.134 alpha=90.00 beta=90.00 gamma=90.00
Fractional positions:
Ca (0.000, 0.000, 0.000)
Ca (0.000, 0.500, 0.500)
Ca (0.500, 0.000, 0.500)
Ca (0.500, 0.500, 0.000)
Mg (0.250, 0.250, 0.750)
Mg (0.250, 0.750, 0.250)
Mg (0.750, 0.250, 0.250)
Mg (0.750, 0.750, 0.750)
Pb (0.000, 0.000, 0.500)
Pb (0.000, 0.500, 0.000)
Pb (0.500, 0.000, 0.000)
Pb (0.500, 0.500, 0.500)

***

Record 12
NaMgGa2Au4: optimized geometry, GGA-PBE.

Calculated values
DFT total energy = -3.08 eV per atom

Unit cell a=8.189 b=8.189 c=8.189 alpha=33.08 beta=33.08 gamma=33.08
Fractional positions:
Na (0.000, 0.000, 0.000)
Mg (0.500, 0.500, 0.500)
Ga (0.256, 0.256, 0.256)
Ga (0.744, 0.744, 0.744)
Au (0.131, 0.131, 0.131)
Au (0.383, 0.383, 0.383)
Au (0.617, 0.617, 0.617)
Au (0.869, 0.869, 0.869)

***

Record 13
Ho2NiHRh6: optimized geometry, GGA-PBE.

Calculated values
DFT total energy = -6.61 eV per atom

Unit cell a=5.514 b=5.514 c=6.724 alpha=114.23 beta=114.23 gamma=60.07
Fractional positions:
Ho (0.215, 0.215, 0.143)
Ho (0.785, 0.785, 0.857)
Ni (0.500, 0.500, 0.000)
H (0.000, 0.000, 0.500)
Rh (0.231, 0.231, 0.681)
Rh (0.231, 0.715, 0.678)
Rh (0.285, 0.769, 0.322)
Rh (0.715, 0.231, 0.678)
Rh (0.769, 0.285, 0.322)
Rh (0.769, 0.769, 0.319)

***

Record 14
FeTcNi4: optimized geometry, GGA-PBE.

Calculated values
Distance to the lowest polymorph of the same formula = 0.080 eV/atom

Unit cell a=4.640 b=4.640 c=4.640 alpha=60.00 beta=60.00 gamma=60.00
Fractional positions:
Fe (0.000, 0.000, 0.000)
Tc (0.250, 0.250, 0.250)
Ni (0.125, 0.625, 0.625)
Ni (0.625, 0.125, 0.625)
Ni (0.625, 0.625, 0.125)
Ni (0.625, 0.625, 0.625)

***

Record 15
CeErIn: optimized geometry, GGA-PBE.

Calculated values
Distance to the lowest polymorph of the same formula = 0.000 eV/atom

Unit cell a=3.725 b=3.997 c=10.968 alpha=90.00 beta=92.39 gamma=90.00
Fractional positions:
Ce (0.171, 0.250, 0.065)
Ce (0.829, 0.750, 0.935)
Er (0.240, 0.250, 0.404)
Er (0.760, 0.750, 0.596)
In (0.293, 0.250, 0.755)
In (0.707, 0.750, 0.245)

***

Record 16
PmInAg2F8: optimized geometry, GGA-PBE.

Calculated values
E_form (uncorrected) = -2.5003 eV per atom

Unit cell a=3.885 b=5.971 c=7.679 alpha=90.00 beta=90.00 gamma=90.00
Fractional positions:
Pm (0.000, 0.000, 0.000)
In (0.000, 0.000, 0.500)
Ag (0.500, 0.500, 0.267)
Ag (0.500, 0.500, 0.733)
F (0.000, 0.212, 0.264)
F (0.000, 0.212, 0.736)
F (0.000, 0.788, 0.264)
F (0.000, 0.788, 0.736)
F (0.500, 0.205, 0.500)
F (0.500, 0.223, 0.000)
F (0.500, 0.777, 0.000)
F (0.500, 0.795, 0.500)

***

Record 17
Pm5SmDy2Er: optimized geometry, GGA-PBE.

Calculated values
DFT total energy = -4.55 eV per atom

Unit cell a=10.544 b=10.544 c=10.703 alpha=90.00 beta=90.00 gamma=148.94
Fractional positions:
Pm (0.016, 0.984, 0.500)
Pm (0.281, 0.719, 0.788)
Pm (0.298, 0.702, 0.184)
Pm (0.390, 0.610, 0.503)
Pm (0.481, 0.519, 0.221)
Pm (0.519, 0.481, 0.721)
Pm (0.610, 0.390, 0.003)
Pm (0.702, 0.298, 0.684)
Pm (0.719, 0.281, 0.288)
Pm (0.984, 0.016, 0.000)
Sm (0.201, 0.799, 0.489)
Sm (0.799, 0.201, 0.989)
Dy (0.111, 0.889, 0.216)
Dy (0.116, 0.884, 0.795)
Dy (0.884, 0.116, 0.295)
Dy (0.889, 0.111, 0.716)
Er (0.410, 0.590, 0.938)
Er (0.590, 0.410, 0.438)

***

Record 18
SrSiHg: optimized geometry, GGA-PBE.

Calculated values
E_form (uncorrected) = -0.3773 eV per atom

Unit cell a=4.540 b=4.477 c=8.010 alpha=90.00 beta=90.10 gamma=90.00
Fractional positions:
Sr (0.001, 0.250, 0.224)
Sr (0.999, 0.750, 0.776)
Si (0.500, 0.250, 0.936)
Si (0.500, 0.750, 0.064)
Hg (0.498, 0.250, 0.608)
Hg (0.502, 0.750, 0.392)

***

Record 19
LaCu2S: optimized geometry, GGA-PBE.

Calculated values
E_form (uncorrected) = -0.4644 eV per atom

Unit cell a=3.960 b=3.960 c=21.097 alpha=90.00 beta=90.00 gamma=90.00
Fractional positions:
La (0.000, 0.000, 0.000)
La (0.000, 0.500, 0.250)
La (0.500, 0.000, 0.750)
La (0.500, 0.500, 0.500)
Cu (0.210, 0.250, 0.625)
Cu (0.250, 0.710, 0.875)
Cu (0.250, 0.790, 0.375)
Cu (0.290, 0.250, 0.125)
Cu (0.710, 0.750, 0.125)
Cu (0.750, 0.210, 0.375)
Cu (0.750, 0.290, 0.875)
Cu (0.790, 0.750, 0.625)
S (0.000, 0.000, 0.500)
S (0.000, 0.500, 0.750)
S (0.500, 0.000, 0.250)
S (0.500, 0.500, 0.000)

***

Record 20
MnW2Cl: optimized geometry, GGA-PBE.

Calculated values
Distance to the lowest polymorph of the same formula = 0.663 eV/atom
E_form (uncorrected) = 0.9725 eV per atom

Unit cell a=6.160 b=6.160 c=6.160 alpha=90.00 beta=90.00 gamma=90.00
Fractional positions:
Mn (0.000, 0.000, 0.000)
Mn (0.000, 0.500, 0.500)
Mn (0.500, 0.000, 0.500)
Mn (0.500, 0.500, 0.000)
W (0.250, 0.250, 0.250)
W (0.250, 0.250, 0.750)
W (0.250, 0.750, 0.250)
W (0.250, 0.750, 0.750)
W (0.750, 0.250, 0.250)
W (0.750, 0.250, 0.750)
W (0.750, 0.750, 0.250)
W (0.750, 0.750, 0.750)
Cl (0.000, 0.000, 0.500)
Cl (0.000, 0.500, 0.000)
Cl (0.500, 0.000, 0.000)
Cl (0.500, 0.500, 0.500)

***

Record 21
BaPm2Cd9: optimized geometry, GGA-PBE.

Calculated values
DFT total energy = -1.90 eV per atom

Unit cell a=10.263 b=10.263 c=10.263 alpha=34.84 beta=34.84 gamma=34.84
Fractional positions:
Ba (0.000, 0.000, 0.000)
Pm (0.145, 0.145, 0.145)
Pm (0.855, 0.855, 0.855)
Cd (0.077, 0.591, 0.591)
Cd (0.336, 0.336, 0.336)
Cd (0.409, 0.409, 0.923)
Cd (0.409, 0.923, 0.409)
Cd (0.500, 0.500, 0.500)
Cd (0.591, 0.077, 0.591)
Cd (0.591, 0.591, 0.077)
Cd (0.664, 0.664, 0.664)
Cd (0.923, 0.409, 0.409)

***

Record 22
NdBi2Pb: optimized geometry, GGA-PBE.

Calculated values
Distance to the lowest polymorph of the same formula = 0.141 eV/atom

Unit cell a=8.015 b=8.015 c=8.015 alpha=90.00 beta=90.00 gamma=90.00
Fractional positions:
Nd (0.000, 0.000, 0.000)
Nd (0.000, 0.500, 0.500)
Nd (0.500, 0.000, 0.500)
Nd (0.500, 0.500, 0.000)
Bi (0.250, 0.250, 0.250)
Bi (0.250, 0.250, 0.750)
Bi (0.250, 0.750, 0.250)
Bi (0.250, 0.750, 0.750)
Bi (0.750, 0.250, 0.250)
Bi (0.750, 0.250, 0.750)
Bi (0.750, 0.750, 0.250)
Bi (0.750, 0.750, 0.750)
Pb (0.000, 0.000, 0.500)
Pb (0.000, 0.500, 0.000)
Pb (0.500, 0.000, 0.000)
Pb (0.500, 0.500, 0.500)

***

Record 23
YSc2PaS4: optimized geometry, GGA-PBE.

Calculated values
E_form (uncorrected) = -1.8053 eV per atom

Unit cell a=6.578 b=3.766 c=6.620 alpha=90.00 beta=108.94 gamma=90.00
Fractional positions:
Y (0.000, 0.000, 0.000)
Sc (0.000, 0.500, 0.500)
Sc (0.500, 0.000, 0.500)
Pa (0.500, 0.500, 0.000)
S (0.243, 0.000, 0.731)
S (0.256, 0.500, 0.267)
S (0.744, 0.500, 0.733)
S (0.757, 0.000, 0.269)

***

Record 24
TmNp2PaSb4: optimized geometry, GGA-PBE.

Calculated values
E_form (uncorrected) = -0.4836 eV per atom

Unit cell a=7.571 b=4.392 c=7.594 alpha=90.00 beta=109.58 gamma=90.00
Fractional positions:
Tm (0.000, 0.000, 0.000)
Np (0.500, 0.000, 0.500)
Np (0.500, 0.500, 0.000)
Pa (0.000, 0.500, 0.500)
Sb (0.246, 0.500, 0.247)
Sb (0.247, 0.000, 0.751)
Sb (0.753, 0.000, 0.249)
Sb (0.754, 0.500, 0.753)

***

Record 25
TaAlOs2: optimized geometry, GGA-PBE.

Calculated values
Distance to the lowest polymorph of the same formula = 0.472 eV/atom

Unit cell a=5.602 b=8.594 c=2.806 alpha=90.00 beta=115.03 gamma=90.00
Fractional positions:
Ta (0.000, 0.000, 0.000)
Ta (0.500, 0.500, 0.000)
Al (0.000, 0.500, 0.000)
Al (0.500, 0.000, 0.000)
Os (0.250, 0.250, 0.500)
Os (0.250, 0.750, 0.500)
Os (0.750, 0.250, 0.500)
Os (0.750, 0.750, 0.500)

***

Record 26
PrNdAl: optimized geometry, GGA-PBE.

Calculated values
Distance to the lowest polymorph of the same formula = 0.277 eV/atom

Unit cell a=9.593 b=3.428 c=6.148 alpha=90.00 beta=115.11 gamma=90.00
Fractional positions:
Pr (0.000, 0.000, 0.000)
Pr (0.500, 0.500, 0.000)
Nd (0.339, 0.500, 0.410)
Nd (0.839, 0.000, 0.410)
Al (0.142, 0.500, 0.699)
Al (0.642, 0.000, 0.699)

***

Record 27
Ce2TmInCo: optimized geometry, GGA-PBE.

Calculated values
DFT total energy = -5.52 eV per atom

Unit cell a=4.936 b=4.936 c=5.411 alpha=90.00 beta=90.00 gamma=90.00
Fractional positions:
Ce (0.000, 0.500, 0.000)
Ce (0.500, 0.000, 0.000)
Tm (0.000, 0.000, 0.500)
In (0.500, 0.500, 0.500)
Co (0.000, 0.000, 0.000)

***

Number 1: size of the total moment 0.0 μB per formula unit. Number 2: size of the total moment 7.0 μB per formula unit. Number 3: size of the total moment 1.0 μB per formula unit. Number 4: size of the total moment 0.2 μB per formula unit. Number 5: size of the total moment 0.0 μB per formula unit. Number 6: size of the total moment 1.2 μB per formula unit. Number 7: size of the total moment 0.0 μB per formula unit. Number 8: size of the total moment 4.0 μB per formula unit. Number 9: size of the total moment 2.2 μB per formula unit. Number 10: size of the total moment 0.0 μB per formula unit. Number 11: size of the total moment 0.0 μB per formula unit. Number 12: size of the total moment 0.0 μB per formula unit. Number 13: size of the total moment 0.0 μB per formula unit. Number 14: size of the total moment 1.2 μB per formula unit. Number 15: size of the total moment 0.7 μB per formula unit. Number 16: size of the total moment 0.2 μB per formula unit. Number 17: size of the total moment 0.0 μB per formula unit. Number 18: size of the total moment 0.0 μB per formula unit. Number 19: size of the total moment 0.0 μB per formula unit. Number 20: size of the total moment 1.9 μB per formula unit. Number 21: size of the total moment 0.0 μB per formula unit. Number 22: size of the total moment 0.0 μB per formula unit. Number 23: size of the total moment 0.0 μB per formula unit. Number 24: size of the total moment 9.2 μB per formula unit. Number 25: size of the total moment 0.0 μB per formula unit. Number 26: size of the total moment 0.0 μB per formula unit. Number 27: size of the total moment 0.4 μB per formula unit.